The following is a GGA-PBE calculation of crystalline LiPm6Sn3 at its relaxed geometry, from the Alexandria database.

Structure (CIF):
```
data_LiPm6Sn3
_chemical_formula_sum 'Li4 Pm24 Sn12'
_symmetry_space_group_name_H-M 'C m c 21'
_symmetry_Int_Tables_number 36
_symmetry_space_group_name_Hall 'C 2c -2'
_cell_length_a 11.879
_cell_length_b 11.795
_cell_length_c 8.753
_cell_angle_alpha 90.00
_cell_angle_beta 90.00
_cell_angle_gamma 90.00
loop_
_atom_site_label
_atom_site_type_symbol
_atom_site_fract_x
_atom_site_fract_y
_atom_site_fract_z
Li1 Li 0.000 0.112 0.000
Pm1 Pm 0.000 0.333 0.253
Pm2 Pm 0.000 0.333 0.749
Pm3 Pm 0.174 0.000 0.251
Pm4 Pm 0.247 0.245 0.501
Sn1 Sn 0.000 0.127 0.501
Sn2 Sn 0.131 0.497 0.501
```

mass density = 6.68 g/cm3
energy of formation from the pure elements = -0.480 eV per atom